Record 1
Below is an optimized crystal structure of VCdSeN2, with properties calculated at the PBE level.

Formation energy from raw total energies ... 179 meV per atom
N(E_F) ... 1.22 states/eV per cell
E above lowest polymorph ... 0.0 meV/atom
SG ... P4/mmm, No. 123

Geometry as POSCAR:
```
VCdSeN2
1.0
3.806 0.000 0.000
0.000 3.806 0.000
0.000 0.000 5.410
V Cd Se N
1 1 1 2
Cartesian
0.000 0.000 0.000
1.903 1.903 2.705
0.000 0.000 2.705
0.000 1.903 0.000
1.903 0.000 0.000
```

Record 2
Below is an optimized crystal structure of Ca2CeNdHg4, with properties calculated at the PBE level.

N(E_F) ... 12.56 states/eV per cell
Energy of formation ... -0.49 eV/atom
SG ... R-3m, No. 166

Geometry as POSCAR:
```
Ca2CeNdHg4
1.0
2.695 1.556 8.800
-2.695 1.556 8.800
0.000 -3.112 8.800
Ca Ce Nd Hg
2 1 1 4
Cartesian
0.000 0.000 6.596
0.000 0.000 19.805
0.000 0.000 0.000
0.000 0.000 13.200
0.000 0.000 3.288
0.000 0.000 9.899
0.000 0.000 16.502
0.000 0.000 23.113
```

Record 3
Below is an optimized crystal structure of Al2PW, with properties calculated at the PBE level.

N(E_F) ... 1.41 states/eV per cell
Energy of formation ... -0.09 eV/atom
SG ... Pm, No. 6

Geometry as POSCAR:
```
Al2PW
1.0
3.188 0.000 0.000
0.000 4.032 0.000
-1.580 0.000 4.870
Al P W
2 1 1
Cartesian
0.000 0.000 0.000
0.003 2.016 3.272
1.592 2.016 0.881
1.596 0.000 2.201
```

Record 4
Below is an optimized crystal structure of V2CrPd, with properties calculated at the PBE level.

N(E_F) ... 4.41 states/eV per cell
Energy of formation ... 0.01 eV/atom
SG ... P4/mmm, No. 123

Geometry as POSCAR:
```
V2CrPd
1.0
4.191 0.000 0.000
0.000 4.191 0.000
0.000 0.000 3.119
V Cr Pd
2 1 1
Cartesian
0.000 2.095 0.000
2.095 0.000 0.000
0.000 0.000 1.560
2.095 2.095 1.560
```

Record 5
Below is an optimized crystal structure of PmLuInGe, with properties calculated at the PBE level.

N(E_F) ... 14.72 states/eV per cell
Energy of formation ... -0.45 eV/atom
SG ... F-43m, No. 216

Geometry as POSCAR:
```
PmLuInGe
1.0
7.386 0.000 0.000
0.000 7.386 0.000
0.000 0.000 7.386
Pm Lu In Ge
4 4 4 4
Cartesian
0.000 0.000 0.000
0.000 3.693 3.693
3.693 0.000 3.693
3.693 3.693 0.000
0.000 0.000 3.693
0.000 3.693 0.000
3.693 0.000 0.000
3.693 3.693 3.693
1.847 1.847 5.540
1.847 5.540 1.847
5.540 1.847 1.847
5.540 5.540 5.540
1.847 1.847 1.847
1.847 5.540 5.540
5.540 1.847 5.540
5.540 5.540 1.847
```

Record 6
Below is an optimized crystal structure of ThMgGaAg, with properties calculated at the PBE level.

N(E_F) ... 5.60 states/eV per cell
Energy of formation ... -0.28 eV/atom
SG ... F-43m, No. 216

Geometry as POSCAR:
```
ThMgGaAg
1.0
7.131 0.000 0.000
0.000 7.131 0.000
0.000 0.000 7.131
Th Mg Ga Ag
4 4 4 4
Cartesian
0.000 0.000 0.000
0.000 3.565 3.565
3.565 0.000 3.565
3.565 3.565 0.000
0.000 0.000 3.565
0.000 3.565 0.000
3.565 0.000 0.000
3.565 3.565 3.565
1.783 1.783 5.348
1.783 5.348 1.783
5.348 1.783 1.783
5.348 5.348 5.348
1.783 1.783 1.783
1.783 5.348 5.348
5.348 1.783 5.348
5.348 5.348 1.783
```

Record 7
Below is an optimized crystal structure of ScSiPb2, with properties calculated at the PBE level.

Formation energy from raw total energies ... 37 meV per atom
N(E_F) ... 2.34 states/eV per cell
SG ... P4/mmm, No. 123

Geometry as POSCAR:
```
ScSiPb2
1.0
4.623 0.000 0.000
0.000 4.623 0.000
0.000 0.000 4.492
Sc Si Pb
1 1 2
Cartesian
0.000 0.000 0.000
2.312 2.312 0.000
0.000 2.312 2.246
2.312 0.000 2.246
```

Record 8
Below is an optimized crystal structure of Ce3CSe2, with properties calculated at the PBE level.

Formation energy from raw total energies ... -1172 meV per atom
N(E_F) ... 26.05 states/eV per cell
E above lowest polymorph ... 86.7 meV/atom
SG ... I4/mmm, No. 139

Geometry as POSCAR:
```
Ce3CSe2
1.0
4.068 0.000 0.000
0.000 4.068 0.000
0.000 0.000 17.097
Ce C Se
6 2 4
Cartesian
0.000 0.000 0.000
0.000 0.000 6.078
0.000 0.000 11.019
2.034 2.034 2.470
2.034 2.034 8.548
2.034 2.034 14.627
0.000 0.000 8.548
2.034 2.034 0.000
0.000 0.000 2.947
0.000 0.000 14.150
2.034 2.034 5.601
2.034 2.034 11.496
```

Record 9
Below is an optimized crystal structure of BIrRu, with properties calculated at the PBE level.

N(E_F) ... 9.95 states/eV per cell
Energy of formation ... 0.03 eV/atom
SG ... Cmce, No. 64

Geometry as POSCAR:
```
BIrRu
1.0
2.645 -4.752 0.000
2.645 4.752 0.000
0.000 0.000 5.675
B Ir Ru
4 4 4
Cartesian
2.645 3.787 5.317
2.645 0.965 2.479
2.645 -0.965 3.196
2.645 -3.787 0.358
1.322 0.490 4.256
1.322 -0.490 1.419
3.967 0.490 4.256
3.967 -0.490 1.419
2.645 2.894 3.377
2.645 1.858 0.540
2.645 -1.858 5.135
2.645 -2.894 2.298
```

Record 10
Below is an optimized crystal structure of SrBeRe, with properties calculated at the PBE level.

N(E_F) ... 13.00 states/eV per cell
Energy of formation ... 1.38 eV/atom
E above lowest polymorph ... 828.5 meV/atom
SG ... F-43m, No. 216

Geometry as POSCAR:
```
SrBeRe
1.0
6.327 0.000 0.000
0.000 6.327 0.000
0.000 0.000 6.327
Sr Be Re
4 4 4
Cartesian
0.000 0.000 0.000
0.000 3.163 3.163
3.163 0.000 3.163
3.163 3.163 0.000
1.582 1.582 4.745
1.582 4.745 1.582
4.745 1.582 1.582
4.745 4.745 4.745
0.000 0.000 3.163
0.000 3.163 0.000
3.163 0.000 0.000
3.163 3.163 3.163
```

Record 11
Below is an optimized crystal structure of TePt2Rh, with properties calculated at the PBE level.

Formation energy from raw total energies ... -20 meV per atom
N(E_F) ... 6.83 states/eV per cell
E above lowest polymorph ... 0.0 meV/atom
SG ... Cmmm, No. 65

Geometry as POSCAR:
```
TePt2Rh
1.0
5.398 0.000 0.000
0.000 5.624 0.000
0.000 0.000 4.727
Te Pt Rh
2 4 2
Cartesian
0.000 0.000 0.000
2.699 2.812 0.000
0.000 1.472 2.363
0.000 4.152 2.363
2.699 1.340 2.363
2.699 4.284 2.363
0.000 2.812 0.000
2.699 0.000 0.000
```

Record 12
Below is an optimized crystal structure of Mn2VSnH, with properties calculated at the PBE level.

N(E_F) ... 3.75 states/eV per cell
SG ... P4/mmm, No. 123

Geometry as POSCAR:
```
Mn2VSnH
1.0
3.900 0.000 0.000
0.000 3.900 0.000
0.000 0.000 3.947
Mn V Sn H
2 1 1 1
Cartesian
0.000 1.950 0.000
1.950 0.000 0.000
0.000 0.000 1.974
1.950 1.950 1.974
0.000 0.000 0.000
```

Record 13
Below is an optimized crystal structure of NaTbEr2S4, with properties calculated at the PBE level.

Formation energy from raw total energies ... -1913 meV per atom
N(E_F) ... 2.51 states/eV per cell
SG ... P2/m, No. 10

Geometry as POSCAR:
```
NaTbEr2S4
1.0
6.790 0.000 0.000
0.000 3.886 0.000
-2.219 0.000 6.428
Na Tb Er S
1 1 2 4
Cartesian
0.000 0.000 0.000
3.395 1.943 0.000
-1.109 1.943 3.214
2.286 0.000 3.214
0.031 0.000 4.786
1.160 1.943 1.667
3.412 1.943 4.762
4.540 0.000 1.642
```

Taking the records one at a time from the top gives ρ values of 5.7 8.7 7.1 7.9 8.4 7.9 8.4 6.9 14.2 7.4 14.4 7.8 6.3 Mg/m³.
Taking the records one at a time from the top gives final energy values of -5.8547 -2.4809 -6.5550 -8.2565 -4.6049 -4.0047 -4.7560 -6.8374 -8.2417 -4.5705 -5.6638 -6.9852 -5.8615 eV/atom.